No. 1
Li2RuBr: optimized geometry, PBE.

Unit cell a=4.5201 b=3.0873 c=5.0398 alpha=74.52 beta=90.00 gamma=90.00
With the nearest neighbours (Å) after each atom.
Atoms (fractional coordinates):
Li 0.0000 0.9706 0.9802  3 Ru 2.61-2.74
Li 0.5000 0.2768 0.2901  3 Br 2.56-2.81
Ru 0.0000 0.6679 0.5161  2 Br 2.46, 3 Li 2.61-2.74
Br 0.5000 0.5848 0.7137  2 Ru 2.46, 2 Li 2.56-2.59

Calculated values
Symmetry: Pm (6)
Magnetic moment: 0.01 μB/cell
ΔE to the lowest computed polymorph: 12.1 kJ/mol of atoms
Formation energy from raw total energies: 2.223 kcal/mol of atoms
Fermi-level density of states: 3.08 states/eV/f.u.

***

No. 2
Ho3Hf3TaN8: optimized geometry, PBE.

Unit cell a=6.4756 b=6.4756 c=6.6439 alpha=119.17 beta=90.00 gamma=120.00
With the nearest neighbours (Å) after each atom.
Atoms (fractional coordinates):
Hf 0.0000 0.5000 0.5000  6 N 2.25
Hf 0.5000 0.0000 0.5000  6 N 2.25
Hf 0.5000 0.5000 0.5000  6 N 2.25
N 0.2308 0.9840 0.7148  1 Ta 2.14, 2 Hf 2.25
N 0.7532 0.9840 0.7148  1 Ta 2.14, 2 Hf 2.25
N 0.7429 0.4858 0.7286  3 Hf 2.25, 3 Ho 2.39
N 0.7692 0.0160 0.2852  1 Ta 2.14, 2 Hf 2.25
N 0.2571 0.5142 0.2714  3 Hf 2.25, 3 Ho 2.39
N 0.2468 0.0160 0.2852  1 Ta 2.14, 2 Hf 2.25
N 0.7692 0.5384 0.2852  1 Ta 2.14, 2 Hf 2.25
N 0.2308 0.4616 0.7148  1 Ta 2.14, 2 Hf 2.25
Ho 0.0000 0.5000 0.0000  6 N 2.39-2.41
Ho 0.0000 0.0000 0.0000  6 N 2.39-2.41
Ho 0.5000 0.5000 0.0000  6 N 2.39-2.41
Ta 0.0000 0.0000 0.5000  6 N 2.14

Calculated values
Symmetry: R-3m (166)
Magnetic moment: 0.00 μB/cell
Formation energy from raw total energies: -38.048 kcal/mol of atoms
Fermi-level density of states: 1.41 states/eV/f.u.

***

No. 3
Rb2CdH6Pt: optimized geometry, PBE.

Unit cell a=5.2951 b=6.1792 c=6.1792 alpha=120.00 beta=90.00 gamma=90.00
With the nearest neighbours (Å) after each atom.
Atoms (fractional coordinates):
H 0.1951 0.8651 0.7302  1 Pt 1.78
H 0.8049 0.7302 0.8651  1 Pt 1.78
H 0.1951 0.2698 0.1349  1 Pt 1.78
H 0.8049 0.1349 0.2698  1 Pt 1.78
H 0.8049 0.1349 0.8651  1 Pt 1.78
H 0.1951 0.8651 0.1349  1 Pt 1.78
Rb 0.2200 0.3333 0.6667  9 H 3.06-3.11
Rb 0.7800 0.6667 0.3333  9 H 3.06-3.11
Pt 0.0000 0.0000 0.0000  6 H 1.78
Cd 0.5000 0.0000 0.0000  6 H 2.17

Calculated values
Symmetry: P-3m1 (164)
Magnetic moment: 0.00 μB/cell
Fermi-level density of states: 4.56 states/eV/f.u.

***

Going through the records in order, we get raw total energy values of -14.391; -146.798; -29.687 eV per cell.
Going through the records in order, we get volume values of 67.78; 199.45; 175.09 Å³/cell.